Cs2KPtBr6 | PBE | optimized geometry

Cell and atoms, written as POSCAR:
```
Cs2KPtBr6
1.0
8.181 0.000 0.000
0.000 8.181 0.000
4.090 4.090 5.668
Cs K Br Pt
2 1 6 1
direct
0.750 0.250 0.500 Cs
0.250 0.750 0.500 Cs
0.500 0.500 0.000 K
0.220 0.220 0.559 Br
0.780 0.780 0.441 Br
0.227 0.227 0.000 Br
0.773 0.773 0.000 Br
0.773 0.227 0.000 Br
0.227 0.773 0.000 Br
0.000 0.000 0.000 Pt
```

Computed properties:
**Space group**: I4/mmm (139)
**M_tot**: 0.9 μB per formula unit
**VASP energy**: -3.014 eV/atom
**Formation energy without anion corrections**: -11.26 eV/f.u.